{
  "formula": "PuNi6As4",
  "functional": "PBE",
  "state": "optimized geometry",
  "m_tot_mub_per_fu": 5.650,
  "dft_energy_ev_per_fu": -72.14,
  "ef_ev_per_atom": -0.411,
  "lattice_angstrom": [[-3.417, -0.596, 1.485], [0.547, -6.716, -1.437], [2.212, 2.418, 6.061]],
  "species": ["As", "As", "As", "As", "Ni", "Ni", "Ni", "Ni", "Ni", "Ni", "Pu"],
  "fractional_positions": [[0.500, 0.814, 0.186], [0.000, 0.333, 0.667], [0.500, 0.814, 0.627], [0.500, 0.373, 0.186], [0.500, 0.206, 0.413], [0.000, 0.539, 0.077], [0.500, 0.587, 0.794], [0.500, 0.206, 0.794], [0.000, 0.539, 0.461], [0.000, 0.923, 0.461], [0.000, 0.000, 0.000]]
}